Entry 1:
CsSnO | GGA-PBE | optimized geometry

The structure in extended XYZ format:
```
6
Lattice="7.189 0.000 0.000 0.000 3.553 0.000 -1.874 0.000 7.288" Properties=species:S:1:pos:R:3 pbc="T T T"
Cs 0.811 0.888 2.083
Cs 4.504 2.665 5.204
Sn 0.884 0.888 6.063
Sn 4.430 2.665 1.225
O 2.498 2.665 0.355
O 2.816 0.888 6.933
```

Computed properties:
Fermi-level density of states = 0.307 states/eV per atom
V = 186 Å³ per cell
formation energy (no corrections) = -877 meV per atom
electronic total energy = -24.89 eV for the cell shown

Entry 2:
Cs3Sn2O4 | GGA-PBE | optimized geometry

The structure in extended XYZ format:
```
18
Lattice="-3.183 10.398 4.204 3.183 -10.398 4.204 3.183 10.398 -4.204" Properties=species:S:1:pos:R:3 pbc="T T T"
Cs 3.183 5.199 -0.938
Cs 0.000 2.334 0.849
Cs 0.000 8.064 0.849
Cs 3.183 2.334 3.355
Cs 3.183 8.064 3.355
Cs 0.000 5.199 5.142
Sn 3.183 -1.493 1.018
Sn 3.183 8.905 -1.018
Sn 0.000 1.493 5.222
Sn 0.000 11.891 3.186
O 1.591 8.078 -2.102
O 1.591 -2.320 2.102
O 3.183 2.751 0.521
O 3.183 7.647 0.521
O 0.000 2.751 3.683
O 0.000 7.647 3.683
O -1.591 12.718 2.102
O 1.591 12.718 2.102
```

Computed properties:
Fermi-level density of states = 0.316 states/eV per atom
V = 557 Å³ per cell
formation energy (no corrections) = -1307 meV per atom
electronic total energy = -84.33 eV for the cell shown

Number 1 is which compound?
CsSnO

Among the records above, which one has the lowest V?
CsSnO

What did the first record say?
CsSnO | GGA-PBE | optimized geometry

The structure in extended XYZ format:
```
6
Lattice="7.189 0.000 0.000 0.000 3.553 0.000 -1.874 0.000 7.288" Properties=species:S:1:pos:R:3 pbc="T T T"
Cs 0.811 0.888 2.083
Cs 4.504 2.665 5.204
Sn 0.884 0.888 6.063
Sn 4.430 2.665 1.225
O 2.498 2.665 0.355
O 2.816 0.888 6.933
```

Computed properties:
Fermi-level density of states = 0.307 states/eV per atom
V = 186 Å³ per cell
formation energy (no corrections) = -877 meV per atom
electronic total energy = -24.89 eV for the cell shown

Which formula does entry 1 have?
CsSnO